Record 1
LaZnP2: optimized geometry, GGA-PBEsol.

Values from the calculation:
The space group is P4/mmm (123). Its formation energy is -44.9 kJ per mole of atoms. The calculation puts the size of the total moment at 0.00 μB/atom.

Unit cell a=3.5483 b=3.5483 c=5.9285 alpha=90.00 beta=90.00 gamma=90.00
Positions (direct):
La 0.0000 0.0000 0.0000
Zn 0.0000 0.0000 0.5000
P 0.5000 0.5000 0.3100
P 0.5000 0.5000 0.6900

---

Record 2
LaZrP2: optimized geometry, GGA-PBEsol.

Values from the calculation:
The space group is Imm2 (44). Its formation energy is -113.3 kJ per mole of atoms. The calculation puts the energy above the most stable polymorph in this dataset at 311 meV per atom. The calculation puts the size of the total moment at 0.00 μB/atom.

Unit cell a=7.2535 b=7.2535 c=7.2535 alpha=151.97 beta=150.84 gamma=40.89
Positions (direct):
La 0.0000 0.0000 0.0000
Zr 0.7501 0.2501 0.5000
P 0.3230 0.8230 0.5000
P 0.6081 0.6081 0.0000

---

Record 3
La2ZrP: optimized geometry, GGA-PBEsol.

Values from the calculation:
The space group is Cmmm (65). Its formation energy is -39.3 kJ per mole of atoms. The calculation puts the size of the total moment at 0.00 μB/atom.

Unit cell a=5.2105 b=5.2105 c=3.6738 alpha=90.00 beta=90.00 gamma=108.96
Positions (direct):
La 0.0000 0.5000 0.0000
La 0.5000 0.0000 0.0000
Zr 0.0000 0.0000 0.5000
P 0.5000 0.5000 0.5000

---

Record 4
La2ZrP: optimized geometry, GGA-PBEsol.

Values from the calculation:
The space group is Imm2 (44). Its formation energy is -51.8 kJ per mole of atoms. The calculation puts the size of the total moment at 0.00 μB/atom.

Unit cell a=6.2605 b=6.2605 c=6.2605 alpha=146.35 beta=129.90 gamma=61.71
Positions (direct):
La 0.0000 0.0000 0.0000
La 0.6846 0.1846 0.5000
Zr 0.3818 0.3818 0.0000
P 0.2129 0.7129 0.5000

---

Record 5
LaZrP2: optimized geometry, GGA-PBEsol.

Values from the calculation:
The space group is R-3m (166). Its formation energy is -143.4 kJ per mole of atoms. The calculation puts the energy above the most stable polymorph in this dataset at 0 meV per atom. The calculation puts the size of the total moment at 0.00 μB/atom.

Unit cell a=6.9397 b=6.9397 c=6.9397 alpha=32.60 beta=32.60 gamma=32.60
Positions (direct):
La 0.0000 0.0000 0.0000
Zr 0.5000 0.5000 0.5000
P 0.2398 0.2398 0.2398
P 0.7602 0.7602 0.7602

---

Record 6
La2Pb: optimized geometry, GGA-PBEsol.

Values from the calculation:
The space group is Cmcm (63). Its formation energy is -47.0 kJ per mole of atoms. The calculation puts the size of the total moment at 0.00 μB/atom.

Unit cell a=8.7111 b=8.7111 c=4.9615 alpha=90.00 beta=90.00 gamma=150.27
Positions (direct):
La 0.0675 0.9325 0.7500
La 0.2536 0.7464 0.2500
La 0.7464 0.2536 0.7500
La 0.9325 0.0675 0.2500
Pb 0.3981 0.6019 0.7500
Pb 0.6019 0.3981 0.2500